An optimized crystal structure of CrSn. Source: Alexandria, functional PBE-GGA.

Unit cell a=7.5611 b=7.5611 c=7.5611 alpha=90.00 beta=90.00 gamma=90.00
Fractional coordinates of all 12 atoms:
Cr  0.0000  0.2500  0.5000
Cr  0.0000  0.7500  0.5000
Cr  0.2500  0.5000  0.0000
Cr  0.5000  0.0000  0.2500
Cr  0.5000  0.0000  0.7500
Cr  0.7500  0.5000  0.0000
Sn  0.0000  0.5000  0.2500
Sn  0.0000  0.5000  0.7500
Sn  0.2500  0.0000  0.5000
Sn  0.5000  0.2500  0.0000
Sn  0.5000  0.7500  0.0000
Sn  0.7500  0.0000  0.5000

Total DFT energy (no corrections) (eV per atom): -5.637
Energy of formation from the pure elements (meV/atom): 1176
Symmetry: Pm-3n